[1]
An optimized crystal structure of La2TaAs, computed with PBE-GGA.

Magnetization (μB per atom): 0.528
E_tot (eV/atom): -6.616

a b c (Å): 8.7385 8.7385 8.7385
angles (deg): 26.48 26.48 26.48
Fractional positions:
La: 0.2422 0.2422 0.2422
La: 0.7578 0.7578 0.7578
Ta: 0.0000 0.0000 0.0000
As: 0.5000 0.5000 0.5000



[2]
An optimized crystal structure of LaTa2As, computed with PBE-GGA.

Magnetization (μB per atom): 0.000
E_tot (eV/atom): -8.320

a b c (Å): 4.7292 4.7292 6.3488
angles (deg): 101.15 101.15 42.24
Fractional positions:
La: 0.0000 0.0000 0.0000
Ta: 0.2039 0.2039 0.6467
Ta: 0.4567 0.4567 0.4703
As: 0.7282 0.7282 0.3189



[3]
An optimized crystal structure of La2Ta2As, computed with PBE-GGA.

Magnetization (μB per atom): 0.000
Excess energy over the best structure of this formula in the dataset (meV per atom): 1061

a b c (Å): 8.0824 8.0824 8.0824
angles (deg): 150.98 150.98 41.50
Fractional positions:
La: 0.2500 0.7500 0.5000
La: 0.7500 0.2500 0.5000
Ta: 0.0791 0.0791 0.0000
Ta: 0.9209 0.9209 0.0000
As: 0.5000 0.5000 0.0000



[4]
An optimized crystal structure of LaTa2As, computed with PBE-GGA.

Magnetization (μB per atom): 0.000
E_tot (eV/atom): -8.050

a b c (Å): 5.8741 5.8741 5.8741
angles (deg): 146.20 132.01 59.98
Fractional positions:
La: 0.0000 0.0000 0.0000
Ta: 0.2712 0.7712 0.5000
Ta: 0.5199 0.5199 0.0000
As: 0.7228 0.2228 0.5000



[5]
An optimized crystal structure of LaTaAs, computed with PBE-GGA.

Magnetization (μB per atom): 0.000
Excess energy over the best structure of this formula in the dataset (meV per atom): 141

a b c (Å): 5.6987 5.6987 7.8578
angles (deg): 118.11 118.11 39.87
Fractional positions:
La: 0.0672 0.0672 0.3373
La: 0.9328 0.9328 0.6627
Ta: 0.3465 0.3465 0.9528
Ta: 0.6535 0.6535 0.0472
As: 0.3198 0.3198 0.2750
As: 0.6802 0.6802 0.7250



[6]
An optimized crystal structure of LaTa2As, computed with PBE-GGA.

Magnetization (μB per atom): 0.000
E_tot (eV/atom): -8.284

a b c (Å): 5.1114 5.1114 5.2487
angles (deg): 102.23 102.23 38.88
Fractional positions:
La: 0.0000 0.0000 0.0000
Ta: 0.2262 0.2262 0.6961
Ta: 0.7738 0.7738 0.3039
As: 0.5000 0.5000 0.5000



[7]
An optimized crystal structure of LaTa2As, computed with PBE-GGA.

Magnetization (μB per atom): 0.000
E_tot (eV/atom): -8.034

a b c (Å): 6.3907 6.3907 6.3907
angles (deg): 101.53 101.53 126.89
Fractional positions:
La: 0.0000 0.0000 0.0000
La: 0.7500 0.2500 0.5000
Ta: 0.2005 0.6250 0.0755
Ta: 0.3750 0.4505 0.5755
Ta: 0.5495 0.1250 0.9245
Ta: 0.8750 0.7995 0.4245
As: 0.2500 0.7500 0.5000
As: 0.5000 0.5000 0.0000



[8]
An optimized crystal structure of La2TaAs, computed with PBE-GGA.

Magnetization (μB per atom): 0.001
E_tot (eV/atom): -6.591

a b c (Å): 5.8253 5.8253 5.8253
angles (deg): 134.55 134.55 66.23
Fractional positions:
La: 0.0000 0.0000 0.0000
La: 0.7500 0.2500 0.5000
Ta: 0.2500 0.7500 0.5000
As: 0.5000 0.5000 0.0000



[9]
An optimized crystal structure of LaTa2As, computed with PBE-GGA.

Magnetization (μB per atom): 0.000
E_tot (eV/atom): -8.054

a b c (Å): 5.1209 5.1209 5.1209
angles (deg): 126.60 126.60 78.90
Fractional positions:
La: 0.0000 0.0000 0.0000
Ta: 0.2500 0.7500 0.5000
Ta: 0.5000 0.5000 0.0000
As: 0.7500 0.2500 0.5000



[10]
An optimized crystal structure of La2TaAs, computed with PBE-GGA.

Magnetization (μB per atom): 0.000
E_tot (eV/atom): -6.724

a b c (Å): 5.3192 5.3192 3.6533
angles (deg): 90.00 90.00 107.46
Fractional positions:
La: 0.0000 0.5000 0.0000
La: 0.5000 0.0000 0.0000
Ta: 0.0000 0.0000 0.5000
As: 0.5000 0.5000 0.5000



[11]
An optimized crystal structure of LaTa2As, computed with PBE-GGA.

Magnetization (μB per atom): 0.000
E_tot (eV/atom): -8.121

a b c (Å): 5.8050 5.8050 3.5031
angles (deg): 107.18 107.18 118.37
Fractional positions:
La: 0.0000 0.0000 0.0000
Ta: 0.0000 0.5000 0.5000
Ta: 0.5000 0.0000 0.5000
As: 0.5000 0.5000 0.0000



[12]
An optimized crystal structure of LaTa2As, computed with PBE-GGA.

Magnetization (μB per atom): 0.000
E_tot (eV/atom): -8.085

a b c (Å): 3.0997 3.0997 9.2935
angles (deg): 90.00 90.00 111.03
Fractional positions:
La: 0.0000 0.0000 0.0000
Ta: 0.5000 0.5000 0.2947
Ta: 0.5000 0.5000 0.7053
As: 0.0000 0.0000 0.5000



[13]
An optimized crystal structure of LaTaAs, computed with PBE-GGA.

Magnetization (μB per atom): 0.000
Excess energy over the best structure of this formula in the dataset (meV per atom): 385

a b c (Å): 6.1902 6.1902 6.1902
angles (deg): 147.23 147.23 47.03
Fractional positions:
La: 0.0000 0.0000 0.0000
Ta: 0.3009 0.3009 0.0000
As: 0.7116 0.7116 0.0000



[14]
An optimized crystal structure of LaTa2As, computed with PBE-GGA.

Magnetization (μB per atom): 0.000
E_tot (eV/atom): -8.077

a b c (Å): 4.2011 4.2011 4.8136
angles (deg): 90.00 90.00 90.00
Fractional positions:
La: 0.0000 0.0000 0.0000
Ta: 0.0000 0.5000 0.5000
Ta: 0.5000 0.0000 0.5000
As: 0.5000 0.5000 0.0000



[15]
An optimized crystal structure of La2TaAs, computed with PBE-GGA.

Magnetization (μB per atom): 0.000
E_tot (eV/atom): -6.671

a b c (Å): 3.4958 3.4958 8.7294
angles (deg): 90.00 90.00 101.41
Fractional positions:
La: 0.0000 0.0000 0.2339
La: 0.0000 0.0000 0.7661
Ta: 0.5000 0.5000 0.5000
As: 0.5000 0.5000 0.0000



[16]
An optimized crystal structure of LaTaAs3, computed with PBE-GGA.

Magnetization (μB per atom): 0.000
Excess energy over the best structure of this formula in the dataset (meV per atom): 0

a b c (Å): 5.0022 5.0022 5.0022
angles (deg): 90.00 90.00 90.00
Fractional positions:
La: 0.0000 0.0000 0.0000
Ta: 0.5000 0.5000 0.5000
As: 0.0000 0.5000 0.5000
As: 0.5000 0.0000 0.5000
As: 0.5000 0.5000 0.0000



[17]
An optimized crystal structure of La2TaAs, computed with PBE-GGA.

Magnetization (μB per atom): 0.504
E_tot (eV/atom): -6.518

a b c (Å): 5.5722 5.5722 5.5722
angles (deg): 129.44 128.04 75.43
Fractional positions:
La: 0.2474 0.2474 0.0000
La: 0.7526 0.7526 0.0000
Ta: 0.0000 0.5000 0.5000
As: 0.5000 0.0000 0.5000



[18]
An optimized crystal structure of LaTa2As, computed with PBE-GGA.

Magnetization (μB per atom): 0.002
E_tot (eV/atom): -8.033

a b c (Å): 4.9184 4.9184 4.9184
angles (deg): 60.00 60.00 60.00
Fractional positions:
La: 0.0000 0.0000 0.0000
Ta: 0.2500 0.2500 0.2500
Ta: 0.5000 0.5000 0.5000
As: 0.7500 0.7500 0.7500



[19]
An optimized crystal structure of La2TaAs, computed with PBE-GGA.

Magnetization (μB per atom): 0.000
E_tot (eV/atom): -6.926

a b c (Å): 4.3749 4.3532 6.1288
angles (deg): 90.00 110.89 90.00
Fractional positions:
La: 0.0000 0.0000 0.0000
La: 0.2873 0.5000 0.5728
Ta: 0.7143 0.0000 0.4266
As: 0.5769 0.5000 0.1546



[20]
An optimized crystal structure of LaTaAs, computed with PBE-GGA.

Magnetization (μB per atom): 0.000
Excess energy over the best structure of this formula in the dataset (meV per atom): 552

a b c (Å): 4.4590 4.4590 4.2764
angles (deg): 90.00 90.00 120.00
Fractional positions:
La: 0.0000 0.0000 0.0000
Ta: 0.6667 0.3333 0.5000
As: 0.3333 0.6667 0.5000



[21]
An optimized crystal structure of LaTaAs3, computed with PBE-GGA.

Magnetization (μB per atom): 0.408
Excess energy over the best structure of this formula in the dataset (meV per atom): 1917

a b c (Å): 5.4121 5.4121 5.4121
angles (deg): 90.00 90.00 90.00
Fractional positions:
La: 0.0000 0.0000 0.0000
Ta: 0.5000 0.5000 0.5000
As: 0.0000 0.0000 0.5000
As: 0.0000 0.5000 0.0000
As: 0.5000 0.0000 0.0000



[22]
An optimized crystal structure of LaTaAs, computed with PBE-GGA.

Magnetization (μB per atom): 0.122
Excess energy over the best structure of this formula in the dataset (meV per atom): 14

a b c (Å): 3.8867 4.2802 8.3257
angles (deg): 90.00 90.00 90.00
Fractional positions:
La: 0.2500 0.2500 0.1493
La: 0.7500 0.7500 0.8507
Ta: 0.2500 0.7500 0.5071
Ta: 0.7500 0.2500 0.4929
As: 0.2500 0.2500 0.7211
As: 0.7500 0.7500 0.2789



[23]
An optimized crystal structure of LaTaAs, computed with PBE-GGA.

Magnetization (μB per atom): 0.000
Excess energy over the best structure of this formula in the dataset (meV per atom): 215

a b c (Å): 3.8711 4.0041 9.8724
angles (deg): 90.00 90.11 90.00
Fractional positions:
La: 0.0000 0.0000 0.0000
La: 0.4973 0.0000 0.6340
Ta: 0.4951 0.5000 0.3063
Ta: 0.9952 0.0000 0.3261
As: 0.4994 0.5000 0.8770
As: 0.9965 0.5000 0.5041



[24]
An optimized crystal structure of LaTa3As, computed with PBE-GGA.

Magnetization (μB per atom): 0.000
Excess energy over the best structure of this formula in the dataset (meV per atom): 0

a b c (Å): 4.8935 4.8935 4.8935
angles (deg): 90.00 90.00 90.00
Fractional positions:
La: 0.0000 0.0000 0.0000
Ta: 0.0000 0.5000 0.5000
Ta: 0.5000 0.0000 0.5000
Ta: 0.5000 0.5000 0.0000
As: 0.5000 0.5000 0.5000



[25]
An optimized crystal structure of La4TaAs, computed with PBE-GGA.

Magnetization (μB per atom): 0.130
E_tot (eV/atom): -5.403

a b c (Å): 6.2718 6.2718 6.2718
angles (deg): 60.00 60.00 60.00
Fractional positions:
La: 0.1241 0.1241 0.1241
La: 0.1241 0.1241 0.6277
La: 0.1241 0.6277 0.1241
La: 0.6277 0.1241 0.1241
Ta: 0.7500 0.7500 0.7500
As: 0.5000 0.5000 0.5000



[26]
An optimized crystal structure of La2TaAs, computed with PBE-GGA.

Magnetization (μB per atom): 0.000
E_tot (eV/atom): -6.852

a b c (Å): 5.9552 5.9552 5.3798
angles (deg): 106.48 106.48 34.46
Fractional positions:
La: 0.0000 0.0000 0.0000
La: 0.1969 0.1969 0.6473
Ta: 0.7816 0.7816 0.2229
As: 0.4441 0.4441 0.4847



[27]
An optimized crystal structure of La3TaAs, computed with PBE-GGA.

Magnetization (μB per atom): 0.000
Excess energy over the best structure of this formula in the dataset (meV per atom): 0

a b c (Å): 5.5044 5.5044 5.5044
angles (deg): 90.00 90.00 90.00
Fractional positions:
La: 0.0000 0.0000 0.5000
La: 0.0000 0.5000 0.0000
La: 0.5000 0.0000 0.0000
Ta: 0.0000 0.0000 0.0000
As: 0.5000 0.5000 0.5000



[28]
An optimized crystal structure of LaTa2As, computed with PBE-GGA.

Magnetization (μB per atom): 0.000
E_tot (eV/atom): -8.501

a b c (Å): 3.4317 3.4317 7.3820
angles (deg): 90.00 90.00 90.00
Fractional positions:
La: 0.0000 0.0000 0.0000
Ta: 0.0000 0.0000 0.5025
Ta: 0.5000 0.5000 0.3042
As: 0.5000 0.5000 0.6866



[29]
An optimized crystal structure of LaTa2As, computed with PBE-GGA.

Magnetization (μB per atom): 0.000
E_tot (eV/atom): -8.332

a b c (Å): 3.1521 3.1521 9.0257
angles (deg): 90.00 90.00 107.17
Fractional positions:
La: 0.0000 0.0000 0.0000
Ta: 0.0000 0.0000 0.5266
Ta: 0.5000 0.5000 0.3001
As: 0.5000 0.5000 0.7285